# 1
The following is a PBE calculation of Ni3AgW after structural relaxation, from Alexandria via LeMat-Bulk.

- ρ (g/cm3) = 8.424
- energy above the lowest structure with this stoichiometry (eV/atom) = 0.000
- formation enthalpy at 0 K (eV per atom) = 1.343

Cell lengths 4.518, 4.518, 4.518 Å; angles 90.00, 90.00, 90.00 degrees
Fractional coordinates of all 5 atoms:
Ni1 0.000 0.000 0.500
Ni2 0.000 0.500 0.000
Ni3 0.500 0.000 0.000
Ag1 0.500 0.500 0.500
W1 0.000 0.000 0.000

---

# 2
The following is a PBE calculation of ScPaGe2 after structural relaxation, from Alexandria via LeMat-Bulk.

- ρ (g/cm3) = 8.044
- energy above the lowest structure with this stoichiometry (eV/atom) = 0.000
- formation enthalpy at 0 K (eV per atom) = -0.562

Cell lengths 4.123, 5.587, 5.587 Å; angles 42.50, 90.00, 90.00 degrees
Fractional coordinates of all 4 atoms:
Sc1 0.000 0.000 0.000
Pa1 0.500 0.271 0.271
Ge1 0.000 0.734 0.734
Ge2 0.500 0.548 0.548

---

# 3
The following is a PBE calculation of PaHgPd after structural relaxation, from Alexandria via LeMat-Bulk.

- ρ (g/cm3) = 13.834
- energy above the lowest structure with this stoichiometry (eV/atom) = 0.145
- formation enthalpy at 0 K (eV per atom) = -0.127

Cell lengths 3.189, 3.189, 7.332 Å; angles 90.00, 90.00, 120.00 degrees
Fractional coordinates of all 3 atoms:
Pa1 0.000 0.000 0.000
Hg1 0.667 0.333 0.376
Pd1 0.333 0.667 0.685

---

Q: What is the ρ in the second record?
A: 8.044 g/cm3